No. 1
Material: BaZr2NbSn
Method: DFT, GGA-PBE
State: optimized geometry

a = 5.2289 Å, b = 5.2289 Å, c = 5.7153 Å
α = 90.00°, β = 90.00°, γ = 90.00°
Atoms (fractional coordinates):
Ba: 0.0000 0.0000 0.0000
Zr: 0.0000 0.5000 0.0000
Zr: 0.5000 0.0000 0.0000
Nb: 0.5000 0.5000 0.5000
Sn: 0.0000 0.0000 0.5000

The space group is P4/mmm (123). The value obtained for the magnetization is 0.0 Bohr magnetons per cell. As for the formation energy: 11.0 eV/f.u.

No. 2
Material: Zn2CuBr
Method: DFT, GGA-PBE
State: optimized geometry

a = 4.8291 Å, b = 4.8291 Å, c = 3.1664 Å
α = 90.00°, β = 90.00°, γ = 90.00°
Atoms (fractional coordinates):
Zn: 0.0000 0.5000 0.0000
Zn: 0.5000 0.0000 0.0000
Cu: 0.0000 0.0000 0.5000
Br: 0.5000 0.5000 0.5000

The space group is P4/mmm (123). The value obtained for the magnetization is 0.0 Bohr magnetons per cell. As for the energy relative to the elements, uncorrected: 331 meV/atom. For the energy above the most stable polymorph in this dataset, the calculation gives 0.3778 eV per atom.

No. 3
Material: SmAsH
Method: DFT, GGA-PBE
State: optimized geometry

a = 3.8029 Å, b = 3.8029 Å, c = 4.3344 Å
α = 90.00°, β = 90.00°, γ = 120.00°
Atoms (fractional coordinates):
Sm: 0.0000 0.0000 0.0000
As: 0.6667 0.3333 0.5000
H: 0.3333 0.6667 0.0000

The space group is P-6m2 (187). The value obtained for the magnetization is 0.0 Bohr magnetons per cell. For the energy above the most stable polymorph in this dataset, the calculation gives 0.0861 eV per atom.

> What is the magnetization in the third record?

0.0 Bohr magnetons per cell